Entry from Alexandria: a relaxed structure of MnCdBiF6 (PBE with a Hubbard U).

Calculated values
DFT total energy in eV/atom: -4.81

Lattice parameters (Å, degrees): 5.8543 5.8543 10.1943 90.00 90.00 120.00
Space group P-31c (No. 163)
Inequivalent atoms, fractional coordinates:
Mn: 0.3333 0.6667 0.2500
Cd: 0.3333 0.6667 0.7500
Bi: 0.0000 0.0000 0.0000
F: 0.0450 0.3478 0.1296